No. 1
The following is a DFT calculation (PBE) of a geometry-optimized TeIrOs2 structure.

Values from the calculation:
Uncorrected formation energy: 1.0695 eV/atom
Density of states at the Fermi level: 1.62 states/eV/atom

```
TeIrOs2
1.0
2.8383 0.0021 0.0000
-1.4442 2.4435 0.0000
0.0000 0.0000 9.7540
Os Ir Te
2 1 1
direct
0.0000 0.0000 0.5170 Os
0.0000 0.0000 0.9830 Os
0.5000 0.5000 0.7500 Ir
0.5000 0.5000 0.2500 Te
```

***

No. 2
The following is a DFT calculation (PBE) of a geometry-optimized TeIrOs2 structure.

Values from the calculation:
Uncorrected formation energy: 0.7409 eV/atom
Density of states at the Fermi level: 1.02 states/eV/atom

```
TeIrOs2
1.0
2.8934 0.0000 0.0000
0.0000 3.7738 0.0000
0.0000 0.0000 6.0739
Ir Os Te
1 2 1
direct
0.5000 0.5000 0.7500 Ir
0.0000 0.0000 0.5330 Os
0.0000 0.0000 0.9670 Os
0.5000 0.5000 0.2500 Te
```

***

No. 3
The following is a DFT calculation (PBE) of a geometry-optimized Te2IrOs structure.

Values from the calculation:
ΔE to the lowest computed polymorph: 753 meV per atom
Uncorrected formation energy: 0.8953 eV/atom
Density of states at the Fermi level: 0.69 states/eV/atom

```
Te2IrOs
1.0
5.4831 0.0006 0.0000
2.5699 4.8436 0.0000
-4.0265 -2.4221 2.8258
Te Ir Os
2 1 1
direct
0.0000 0.0000 0.0000 Te
0.2500 0.7500 0.5000 Te
0.5000 0.5000 0.0000 Ir
0.7500 0.2500 0.5000 Os
```